This record from Alexandria via LeMat-Bulk describes a relaxed structure of K2TaSi. The functional is PBEsol.

Magnetization, μB per cell: 0.7
DOS(E_F), states/eV per atom: 0.606
ρ, g cm⁻³: 3.6
E, eV per atom: -4.746
Space group: P4mm

```
K2TaSi
1.0
3.557 0.000 0.000
0.000 3.557 0.000
0.000 0.000 10.386
K Ta Si
2 1 1
Direct
0.000 0.000 0.000 K
0.500 0.500 0.393 K
0.500 0.500 0.713 Ta
0.000 0.000 0.693 Si
```